(1)
Ca2TmAu3, relaxed, DFT GGA-PBE; total moment = 0.00 μB/cell; ΔH_f (0 K) = -824 meV/atom; E = -23.25 eV/cell
1.0
3.5926 0.0000 0.0000
0.0000 4.8136 -1.5935
0.0000 0.0237 8.1386
Au Ca Tm
3 2 1
Direct
0.5000 0.1533 0.3066
0.5000 0.5000 0.0000
0.5000 0.8467 0.6934
0.0000 0.3310 0.6621
0.0000 0.6690 0.3379
0.0000 0.0000 0.0000



(2)
Nd2Dy4Ho, relaxed, DFT GGA-PBE; total moment = 0.21 μB/cell; ΔH_f (0 K) = 658 meV/atom; E = -27.92 eV/cell
1.0
5.5250 0.0000 0.0000
0.0000 5.5250 0.0000
-2.7625 -2.7625 8.6051
Dy Ho Nd
4 1 2
Direct
0.0000 0.5000 0.0000
0.5000 0.0000 0.0000
0.1762 0.1762 0.3524
0.8238 0.8238 0.6476
0.0000 0.0000 0.0000
0.3766 0.3766 0.7532
0.6234 0.6234 0.2468



(3)
Ce8GeOs3Br4, relaxed, DFT GGA-PBE; raw formation energy = -795 meV/atom; total moment = 6.75 μB/cell; E = -105.19 eV/cell
1.0
-3.9474 -2.6722 6.7896
0.0953 -8.2877 -3.2065
7.2545 3.9609 0.7084
Br Ce Os Ge
4 8 3 1
Direct
0.5000 0.0000 0.5000
0.0000 0.0000 0.5000
0.5000 0.0000 0.0000
0.0000 0.0000 0.0000
0.7587 0.3007 0.5175
0.2413 0.6993 0.4825
0.7167 0.6992 0.9579
0.2659 0.2976 0.5318
0.7587 0.3008 0.0421
0.7341 0.7024 0.4682
0.2833 0.3008 0.0421
0.2413 0.6992 0.9579
0.5000 0.5000 0.0000
0.5000 0.5000 0.5000
0.0000 0.5000 0.5000
0.0000 0.5000 0.0000